[1]
## LaTb4Si4 (PBE)

Data for LaTb4Si4 after structural relaxation.

Cell lengths 9.333, 9.333, 5.746 Å; angles 90.00, 90.00, 90.00 degrees
Atoms (fractional coordinates):
La  0.250  0.250  0.250
La  0.750  0.750  0.750
Tb  0.102  0.640  0.128
Tb  0.140  0.898  0.628
Tb  0.360  0.602  0.628
Tb  0.398  0.860  0.128
Tb  0.602  0.140  0.872
Tb  0.640  0.398  0.372
Tb  0.860  0.102  0.372
Tb  0.898  0.360  0.872
Si  0.047  0.591  0.633
Si  0.091  0.953  0.133
Si  0.409  0.547  0.133
Si  0.453  0.909  0.633
Si  0.547  0.091  0.367
Si  0.591  0.453  0.867
Si  0.909  0.047  0.867
Si  0.953  0.409  0.367

Values from the calculation:
SG: P4_2/n, No. 86
Electronic total energy, Ry per atom: -0.404

=====

[2]
## RbPuTl2Cl5 (PBE)

Data for RbPuTl2Cl5 after structural relaxation.

Cell lengths 9.078, 9.078, 9.078 Å; angles 145.25, 129.29, 62.94 degrees
Atoms (fractional coordinates):
Rb  0.000  0.000  0.000
Pu  0.500  0.500  0.000
Tl  0.288  0.788  0.500
Tl  0.712  0.212  0.500
Cl  0.116  0.372  0.744
Cl  0.373  0.628  0.744
Cl  0.500  0.000  0.500
Cl  0.627  0.372  0.256
Cl  0.884  0.628  0.256

Values from the calculation:
SG: Immm, No. 71
Electronic total energy, Ry per atom: -0.344

=====

[3]
## CrCd2Sb (PBE)

Data for CrCd2Sb after structural relaxation.

Cell lengths 5.037, 5.037, 5.037 Å; angles 60.00, 60.00, 60.00 degrees
Atoms (fractional coordinates):
Cr  0.000  0.000  0.000
Cd  0.500  0.500  0.500
Cd  0.750  0.750  0.750
Sb  0.250  0.250  0.250

Values from the calculation:
SG: F-43m, No. 216
Electronic total energy, Ry per atom: -0.261

=====

[4]
## PmU3Tl4Te8 (PBE)

Data for PmU3Tl4Te8 after structural relaxation.

Cell lengths 9.760, 9.760, 9.760 Å; angles 54.20, 54.20, 54.20 degrees
Atoms (fractional coordinates):
Pm  0.000  0.000  0.000
U  0.000  0.500  0.500
U  0.500  0.000  0.500
U  0.500  0.500  0.000
Tl  0.000  0.000  0.500
Tl  0.000  0.500  0.000
Tl  0.500  0.000  0.000
Tl  0.500  0.500  0.500
Te  0.241  0.241  0.736
Te  0.241  0.736  0.241
Te  0.261  0.261  0.261
Te  0.264  0.759  0.759
Te  0.736  0.241  0.241
Te  0.739  0.739  0.739
Te  0.759  0.264  0.759
Te  0.759  0.759  0.264

Values from the calculation:
SG: R-3m, No. 166
Electronic total energy, Ry per atom: -0.384

=====

[5]
## HoCu11Si (PBE)

Data for HoCu11Si after structural relaxation.

Cell lengths 6.438, 6.438, 6.442 Å; angles 97.52, 97.52, 136.34 degrees
Atoms (fractional coordinates):
Ho  0.000  0.000  0.000
Cu  0.000  0.000  0.500
Cu  0.000  0.500  0.000
Cu  0.007  0.652  0.646
Cu  0.287  0.507  0.778
Cu  0.348  0.993  0.354
Cu  0.493  0.713  0.222
Cu  0.500  0.000  0.000
Cu  0.507  0.287  0.778
Cu  0.652  0.007  0.646
Cu  0.713  0.493  0.222
Cu  0.993  0.348  0.354
Si  0.500  0.500  0.500

Values from the calculation:
SG: C2/m, No. 12
Electronic total energy, Ry per atom: -0.322

=====

[6]
## KScOF2 (PBE)

Data for KScOF2 after structural relaxation.

Cell lengths 4.268, 4.268, 4.024 Å; angles 90.00, 90.00, 90.00 degrees
Atoms (fractional coordinates):
K  0.000  0.000  0.000
Sc  0.500  0.500  0.500
O  0.500  0.500  0.000
F  0.000  0.500  0.500
F  0.500  0.000  0.500

Values from the calculation:
SG: P4/mmm, No. 123
ΔE to the lowest computed polymorph, eV per atom: 0.0000

=====

[7]
## Ce2ZnInOs (PBE)

Data for Ce2ZnInOs after structural relaxation.

Cell lengths 7.907, 4.048, 7.955 Å; angles 90.00, 109.13, 90.00 degrees
Atoms (fractional coordinates):
Ce  0.107  0.250  0.339
Ce  0.286  0.250  0.986
Ce  0.714  0.750  0.014
Ce  0.893  0.750  0.661
Zn  0.440  0.750  0.355
Zn  0.560  0.250  0.645
In  0.324  0.750  0.672
In  0.676  0.250  0.328
Os  0.126  0.750  0.110
Os  0.874  0.250  0.890

Values from the calculation:
SG: P2_1/m, No. 11
Electronic total energy, Ry per atom: -0.418

=====

[8]
## Er2TlSe (PBE)

Data for Er2TlSe after structural relaxation.

Cell lengths 3.492, 3.492, 8.000 Å; angles 90.00, 90.00, 90.00 degrees
Atoms (fractional coordinates):
Er  0.000  0.000  0.226
Er  0.000  0.000  0.774
Tl  0.500  0.500  0.500
Se  0.500  0.500  0.000

Values from the calculation:
SG: P4/mmm, No. 123
ΔE to the lowest computed polymorph, eV per atom: 0.1876

=====

[9]
## LiAsSCl2 (PBE)

Data for LiAsSCl2 after structural relaxation.

Cell lengths 5.157, 5.157, 4.726 Å; angles 90.00, 90.00, 90.00 degrees
Atoms (fractional coordinates):
Li  0.000  0.000  0.000
As  0.500  0.500  0.500
S  0.500  0.500  0.000
Cl  0.000  0.500  0.500
Cl  0.500  0.000  0.500

Values from the calculation:
SG: P4/mmm, No. 123
ΔE to the lowest computed polymorph, eV per atom: 0.0000

=====

[10]
## CrP2RhS (PBE)

Data for CrP2RhS after structural relaxation.

Cell lengths 4.403, 4.403, 4.301 Å; angles 90.00, 90.00, 90.00 degrees
Atoms (fractional coordinates):
Cr  0.000  0.000  0.000
P  0.000  0.500  0.000
P  0.500  0.000  0.000
Rh  0.500  0.500  0.500
S  0.000  0.000  0.500

Values from the calculation:
SG: P4/mmm, No. 123
ΔE to the lowest computed polymorph, eV per atom: 0.0000

=====

[11]
## LaTl2BiIr (PBE)

Data for LaTl2BiIr after structural relaxation.

Cell lengths 5.295, 5.295, 5.480 Å; angles 90.00, 90.00, 90.00 degrees
Atoms (fractional coordinates):
La  0.000  0.000  0.000
Tl  0.000  0.500  0.500
Tl  0.500  0.000  0.500
Bi  0.500  0.500  0.000
Ir  0.000  0.000  0.500

Values from the calculation:
SG: P4/mmm, No. 123
Electronic total energy, Ry per atom: -0.351

=====

[12]
## Sc3ReSn (PBE)

Data for Sc3ReSn after structural relaxation.

Cell lengths 5.031, 5.031, 5.031 Å; angles 90.00, 90.00, 90.00 degrees
Atoms (fractional coordinates):
Sc  0.000  0.000  0.500
Sc  0.000  0.500  0.000
Sc  0.500  0.000  0.000
Re  0.000  0.000  0.000
Sn  0.500  0.500  0.500

Values from the calculation:
SG: Pm-3m, No. 221
ΔE to the lowest computed polymorph, eV per atom: 0.0000

=====

[13]
## NdCu2AsP (PBE)

Data for NdCu2AsP after structural relaxation.

Cell lengths 4.179, 4.179, 6.025 Å; angles 90.00, 90.00, 90.00 degrees
Atoms (fractional coordinates):
Nd  0.000  0.000  0.000
Cu  0.000  0.500  0.389
Cu  0.500  0.000  0.389
As  0.500  0.500  0.113
P  0.000  0.000  0.532

Values from the calculation:
SG: P4mm, No. 99
Electronic total energy, Ry per atom: -0.375